w.
A relaxed structure of MnInSe2N. Source: the Alexandria database, functional PBE.

Unit cell a=5.3729 b=5.3729 c=4.1281 alpha=90.00 beta=90.00 gamma=90.00
Closest atoms and distances in Å follow each position.
Space group P4/mmm (No. 123)
One atom of each set of equivalent atoms:
Mn1 0.0000 0.0000 0.0000 x1  8 Se 3.39
In1 0.5000 0.5000 0.5000 x1  2 N 2.06
Se1 0.0000 0.5000 0.5000 x2  2 In 2.69
N1 0.5000 0.5000 0.0000 x1  2 In 2.06

DOS at the Fermi energy in states/eV per cell: 2.58

=====

x.
A relaxed structure of MnInSe2N. Source: the Alexandria database, functional PBE.

Unit cell a=5.1097 b=5.1097 c=3.5265 alpha=90.00 beta=90.00 gamma=90.00
Closest atoms and distances in Å follow each position.
Space group P4/mmm (No. 123)
One atom of each set of equivalent atoms:
Mn1 0.0000 0.0000 0.0000 x1  2 N 1.76
In1 0.5000 0.5000 0.5000 x1  8 Se 3.10
Se1 0.0000 0.5000 0.0000 x2  2 Mn 2.55
N1 0.0000 0.0000 0.5000 x1  2 Mn 1.76

DOS at the Fermi energy in states/eV per cell: 2.80

=====

Preferred: x; penalty for the next structure: 0.876 eV/atom.

=====

w.
A relaxed structure of MnInSeN2. Source: the Alexandria database, functional PBE.

Unit cell a=4.1656 b=4.1656 c=5.8378 alpha=90.00 beta=90.00 gamma=90.00
Closest atoms and distances in Å follow each position.
Space group P4/mmm (No. 123)
One atom of each set of equivalent atoms:
Mn1 0.0000 0.0000 0.0000 x1  4 Se 2.95
In1 0.5000 0.5000 0.5000 x1  4 N 2.08
Se1 0.5000 0.5000 0.0000 x1  2 In 2.92, 4 Mn 2.95
N1 0.0000 0.5000 0.5000 x2  2 In 2.08

DOS at the Fermi energy in states/eV per cell: 2.34

=====

x.
A relaxed structure of MnInSeN2. Source: the Alexandria database, functional PBE.

Unit cell a=3.7767 b=3.7767 c=5.8134 alpha=90.00 beta=90.00 gamma=90.00
Closest atoms and distances in Å follow each position.
Space group P4/mmm (No. 123)
One atom of each set of equivalent atoms:
Mn1 0.0000 0.0000 0.0000 x1  4 N 1.89
In1 0.5000 0.5000 0.5000 x1  4 Se 2.67
Se1 0.0000 0.0000 0.5000 x1  4 In 2.67, 2 Mn 2.91
N1 0.0000 0.5000 0.0000 x2  2 Mn 1.89

DOS at the Fermi energy in states/eV per cell: 1.91

=====

Preferred: x; penalty for the next structure: 0.828 eV/atom.